## AgAuN2 (PBE-GGA)

Data for AgAuN2 after structural relaxation.

It has space group I-42d (No. 122), with a = 4.602 Å, b = 4.602 Å, c = 11.329 Å, α = 90.00°, β = 90.00° and γ = 90.00°. The inequivalent atoms are Ag at (0.000, 0.000, 0.000), Au at (0.000, 0.000, 0.500) and N at (0.228, 0.250, 0.625).

The uncorrected formation energy comes out at 1.6727 eV/atom. As for the raw total energy: -0.2956 Ry/atom.